A relaxed structure of AgBi, computed with PBE.

a = 4.1712 Å, b = 4.2700 Å, c = 5.8844 Å
α = 90.00°, β = 90.00°, γ = 90.00°
Closest atoms and distances in Å follow each position.
Fractional positions:
Ag: 0.2500 0.2500 0.0033  4 Ag 2.98, 4 Bi 3.08-3.09
Ag: 0.7500 0.7500 0.9967  4 Ag 2.98, 4 Bi 3.08-3.09
Bi: 0.2500 0.7500 0.3825  4 Ag 3.08-3.09, 4 Bi 3.29
Bi: 0.7500 0.2500 0.6175  4 Ag 3.08-3.09, 4 Bi 3.29

Values from the calculation:
Size of the total moment = 0.000 μB per atom
Total energy = -0.1184 hartree per atom
Calculated formation energy = 28 kJ/mol of formula units

A relaxed structure of Ag2Bi3, computed with PBE.

a = 6.9928 Å, b = 6.9928 Å, c = 6.9928 Å
α = 68.87°, β = 68.87°, γ = 68.87°
Closest atoms and distances in Å follow each position.
Fractional positions:
Ag: 0.1591 0.1591 0.1591  6 Bi 2.89-3.03, 1 Ag 2.89
Ag: 0.3409 0.3409 0.3409  6 Bi 2.89-3.03, 1 Ag 2.89
Ag: 0.6591 0.6591 0.6591  6 Bi 2.89-3.03, 1 Ag 2.89
Ag: 0.8409 0.8409 0.8409  6 Bi 2.89-3.03, 1 Ag 2.89
Bi: 0.0862 0.7500 0.4138  4 Ag 2.89-3.03
Bi: 0.2500 0.5862 0.9138  4 Ag 2.89-3.03
Bi: 0.4138 0.0862 0.7500  4 Ag 2.89-3.03
Bi: 0.5862 0.9138 0.2500  4 Ag 2.89-3.03
Bi: 0.7500 0.4138 0.0862  4 Ag 2.89-3.03
Bi: 0.9138 0.2500 0.5862  4 Ag 2.89-3.03

Values from the calculation:
Size of the total moment = 0.000 μB per atom
Total energy = -0.1218 hartree per atom
Calculated formation energy = 74 kJ/mol of formula units

A relaxed structure of AgBi, computed with PBE.

a = 9.3302 Å, b = 9.3302 Å, c = 4.5949 Å
α = 90.00°, β = 90.00°, γ = 120.00°
Closest atoms and distances in Å follow each position.
Fractional positions:
Ag: 0.1264 0.5129 0.2500  4 Bi 2.85-3.16, 2 Ag 3.01
Ag: 0.3866 0.8736 0.2500  4 Bi 2.85-3.16, 2 Ag 3.01
Ag: 0.4871 0.6134 0.2500  4 Bi 2.85-3.16, 2 Ag 3.01
Ag: 0.5129 0.3866 0.7500  4 Bi 2.85-3.16, 2 Ag 3.01
Ag: 0.6134 0.1264 0.7500  4 Bi 2.85-3.16, 2 Ag 3.01
Ag: 0.8736 0.4871 0.7500  4 Bi 2.85-3.16, 2 Ag 3.01
Bi: 0.0240 0.7541 0.2500  4 Ag 2.85-3.16
Bi: 0.2459 0.2699 0.2500  4 Ag 2.85-3.16
Bi: 0.2699 0.0240 0.7500  4 Ag 2.85-3.16
Bi: 0.7301 0.9760 0.2500  4 Ag 2.85-3.16
Bi: 0.7541 0.7301 0.7500  4 Ag 2.85-3.16
Bi: 0.9760 0.2459 0.7500  4 Ag 2.85-3.16

Values from the calculation:
Size of the total moment = 0.000 μB per atom
Total energy = -0.1170 hartree per atom
Calculated formation energy = 35 kJ/mol of formula units

| no. | density (g/cm3) |
| --- | --- |
| 1 | 10.040 |
| 2 | 9.756 |
| 3 | 9.113 |